5
Lattice="4.978 0.000 0.000 0.000 4.978 0.000 0.000 0.000 4.613" Properties=species:S:1:pos:R:3 comment="CuAsRuSe2 PBE relaxed" e_tot_ev_per_atom=-4.285 crystal_system=tetragonal raw_formation_energy_ev_per_atom=0.71 mass_density_g_cm3=5.77 pbc="T T T"
Ru 0.000 0.000 0.000
As 0.000 0.000 2.306
Cu 2.489 2.489 2.306
Se 0.000 2.489 0.000
Se 2.489 0.000 0.000

***

5
Lattice="-4.667 -0.325 0.108 0.263 -2.365 4.290 -0.232 4.087 2.267" Properties=species:S:1:pos:R:3 comment="CuAs2RuW PBE relaxed" e_tot_ev_per_atom=-5.789 ef_ev_per_atom=1.335 crystal_system=tetragonal mass_density_g_cm3=7.70 pbc="T T T"
Ru 0.000 0.000 0.000
As -0.116 2.043 1.134
As -2.333 -0.162 0.054
Cu -2.318 0.699 3.332
W 0.132 -1.182 2.145

***

8
Lattice="5.627 0.000 0.000 0.000 5.627 0.000 2.814 2.814 4.727" Properties=species:S:1:pos:R:3 comment="Cu2AsS PBE relaxed" e_tot_ev_per_atom=-4.206 crystal_system=tetragonal raw_formation_energy_ev_per_atom=0.04 mass_density_g_cm3=5.19 pbc="T T T"
As 0.000 0.000 0.000
As 5.627 2.814 2.364
S 2.814 2.814 0.000
S 2.814 5.627 2.364
Cu 4.107 1.407 1.182
Cu 1.520 4.220 1.182
Cu 4.220 4.334 3.545
Cu 7.034 6.920 3.545

***

12
Lattice="3.828 0.000 0.000 0.000 5.455 0.000 0.000 0.000 11.436" Properties=species:S:1:pos:R:3 comment="CuAsS PBE relaxed" e_tot_ev_per_atom=-4.468 crystal_system=orthorhombic raw_formation_energy_ev_per_atom=-0.18 mass_density_g_cm3=4.74 pbc="T T T"
Cu 0.957 2.386 3.702
Cu 2.871 5.114 2.016
Cu 2.871 3.069 7.734
Cu 0.957 0.341 9.420
As 2.871 3.554 0.163
As 0.957 0.826 5.555
As 2.871 4.629 5.881
As 0.957 1.901 11.273
S 2.871 4.517 9.514
S 2.871 3.666 3.795
S 0.957 0.938 1.923
S 0.957 1.789 7.641

***

8
Lattice="5.313 0.000 0.000 0.000 5.313 0.000 0.000 0.000 5.313" Properties=species:S:1:pos:R:3 comment="Cu3AsS4 PBE relaxed" e_tot_ev_per_atom=-4.378 crystal_system=cubic raw_formation_energy_ev_per_atom=-0.20 mass_density_g_cm3=4.36 pbc="T T T"
Cu 0.000 2.656 2.656
Cu 2.656 2.656 0.000
Cu 2.656 0.000 2.656
As 0.000 0.000 0.000
S 1.352 3.960 3.960
S 3.960 3.960 1.352
S 3.960 1.352 3.960
S 1.352 1.352 1.352

***

13
Lattice="7.208 0.000 0.000 3.604 6.242 0.000 3.604 2.081 5.885" Properties=species:S:1:pos:R:3 comment="CuAs4S8 PBE relaxed" e_tot_ev_per_atom=-4.304 crystal_system=cubic raw_formation_energy_ev_per_atom=-0.02 mass_density_g_cm3=3.89 pbc="T T T"
Cu 10.812 6.242 4.414
As 9.083 3.079 2.177
As 7.208 6.327 2.177
As 7.208 4.162 5.239
As 5.333 3.079 2.177
S 5.394 1.048 0.741
S 3.604 4.147 0.741
S 3.604 2.081 3.663
S 1.814 1.048 0.741
S 5.437 5.184 3.666
S 7.208 2.117 3.666
S 7.208 4.162 0.774
S 8.979 5.184 3.666